No. 1
La5Sb4O: relaxed, PBE-GGA.

Lattice parameters (Å, degrees): 6.499 7.783 7.783 79.96 65.32 65.32
Sites, in units of the cell vectors:
La1 0.904 0.381 0.815
La2 0.285 0.815 0.619
La3 0.719 0.185 0.381
La4 0.099 0.619 0.185
La5 0.414 0.000 0.000
Sb1 0.410 0.395 0.789
Sb2 0.805 0.789 0.605
Sb3 0.200 0.211 0.395
Sb4 0.595 0.605 0.211
O1 0.079 0.000 0.000

No. 2
La2NdP2Br2: relaxed, PBE-GGA.

Lattice parameters (Å, degrees): 5.439 5.439 8.671 108.28 108.28 90.00
Sites, in units of the cell vectors:
La1 0.396 0.396 0.792
La2 0.604 0.604 0.208
Nd1 0.000 0.000 0.000
P1 0.000 0.500 0.000
P2 0.500 0.000 0.000
Br1 0.198 0.198 0.396
Br2 0.802 0.802 0.604

| no. | formation energy (no corrections) (eV per atom) |
| --- | --- |
| 1 | -1.471 |
| 2 | -1.350 |